This record from Alexandria via LeMat-Bulk describes a PBEsol-optimized structure of SmP4HO12. The functional is meta-GGA SCAN.

Cell lengths 7.200, 8.633, 8.884 Å; angles 99.60, 112.22, 105.47 degrees
Space group P-1 (No. 2)
Unique sites:
Sm: 0.091 0.267 0.258 (multiplicity 2)
P: 0.066 0.375 0.653 (multiplicity 2)
P: 0.206 0.183 0.893 (multiplicity 2)
P: 0.388 0.711 0.423 (multiplicity 2)
P: 0.420 0.868 0.150 (multiplicity 2)
H: 0.495 0.135 0.265 (multiplicity 2)
O: 0.058 0.016 0.764 (multiplicity 2)
O: 0.092 0.557 0.696 (multiplicity 2)
O: 0.153 0.337 0.833 (multiplicity 2)
O: 0.163 0.310 0.546 (multiplicity 2)
O: 0.185 0.744 0.435 (multiplicity 2)
O: 0.192 0.794 0.021 (multiplicity 2)
O: 0.230 0.212 0.070 (multiplicity 2)
O: 0.328 0.537 0.316 (multiplicity 2)
O: 0.437 0.225 0.396 (multiplicity 2)
O: 0.445 0.225 0.906 (multiplicity 2)
O: 0.455 0.847 0.332 (multiplicity 2)
O: 0.461 0.942 0.809 (multiplicity 2)

Total DFT energy (no corrections) ... -11.686 eV per atom
DOS(E_F) ... 0.0 states/eV/f.u.